[1]
Entry from Alexandria via LeMat-Bulk: a geometry-optimized Si2IrW structure (GGA-PBE).

abc: 4.361 4.361 4.361
angles: 60.00 60.00 60.00
Fractional coordinates of all 4 atoms:
Ir 0.500 0.500 0.500
Si 0.000 0.000 0.000
W 0.250 0.250 0.250
Si 0.750 0.750 0.750

Summary:
Space group: F-43m
Uncorrected formation energy, eV per formula unit: 1.08
Polymorph energy (0 for the lowest one), eV per atom: 0.573
M_tot, μB/f.u.: 0.00


[2]
Entry from Alexandria via LeMat-Bulk: a geometry-optimized Hg2Te2O7 structure (GGA-PBE).

abc: 7.649 7.649 13.699
angles: 69.97 69.97 59.12
Fractional coordinates of all 44 atoms:
O 0.002 0.111 0.846
O 0.715 0.577 0.899
O 0.889 0.998 0.654
Te 0.778 0.771 0.257
Te 0.771 0.778 0.757
O 0.998 0.889 0.154
O 0.789 0.287 0.455
O 0.581 0.544 0.606
O 0.622 0.039 0.300
O 0.456 0.419 0.894
O 0.611 0.008 0.829
O 0.832 0.872 0.505
O 0.872 0.832 0.005
O 0.168 0.128 0.495
Hg 0.000 0.500 0.000
Te 0.222 0.229 0.743
Hg 0.500 0.000 0.000
O 0.419 0.456 0.394
Hg 0.766 0.234 0.250
Hg 0.290 0.710 0.250
O 0.378 0.961 0.700
O 0.285 0.423 0.101
O 0.008 0.611 0.329
Hg 0.710 0.290 0.750
O 0.287 0.789 0.955
Te 0.500 0.500 0.500
O 0.577 0.715 0.399
Te 0.500 0.500 0.000
O 0.544 0.581 0.106
Hg 0.000 0.500 0.500
O 0.423 0.285 0.601
O 0.111 0.002 0.346
O 0.389 0.992 0.171
Hg 0.234 0.766 0.750
Te 0.000 0.000 0.500
O 0.713 0.211 0.045
O 0.128 0.168 0.995
O 0.039 0.622 0.800
Te 0.000 0.000 0.000
O 0.961 0.378 0.200
O 0.211 0.713 0.545
Te 0.229 0.222 0.243
O 0.992 0.389 0.671
Hg 0.500 0.000 0.500

Summary:
Space group: C2/c
Uncorrected formation energy, eV per formula unit: -7.95
Polymorph energy (0 for the lowest one), eV per atom: 0.005
M_tot, μB/f.u.: 0.00


[3]
Entry from Alexandria via LeMat-Bulk: a geometry-optimized AcLa2TbPr4 structure (GGA-PBE).

abc: 5.298 5.272 11.825
angles: 63.45 90.00 90.00
Fractional coordinates of all 8 atoms:
Pr 0.500 0.257 0.743
Pr 0.500 0.743 0.257
Pr 0.000 0.242 0.257
Pr 0.000 0.758 0.743
La 0.500 0.000 0.500
Ac 0.500 0.500 0.000
La 0.000 0.000 0.000
Tb 0.000 0.500 0.500

Summary:
Space group: P2/m
ΔE_f, eV per atom: 0.019
M_tot, μB/f.u.: 0.00


[4]
Entry from Alexandria via LeMat-Bulk: a geometry-optimized UInIrPd structure (GGA-PBE).

abc: 4.788 4.788 4.788
angles: 60.00 60.00 60.00
Fractional coordinates of all 4 atoms:
U 0.250 0.250 0.250
Pd 0.500 0.500 0.500
In 0.750 0.750 0.750
Ir 0.000 0.000 0.000

Summary:
Space group: F-43m
ΔE_f, eV per atom: -0.348
M_tot, μB/f.u.: 1.91